(1)
## ScCr2TeMo (PBE)

Data for crystalline ScCr2TeMo at its relaxed geometry.

Lattice parameters (Å, degrees): 4.6710 4.6710 5.1918 90.00 90.00 90.00
Element x y z (fractional)
Sc: 0.0000 0.0000 0.0000
Cr: 0.0000 0.5000 0.5000
Cr: 0.5000 0.0000 0.5000
Te: 0.5000 0.5000 0.0000
Mo: 0.0000 0.0000 0.5000

Values from the calculation:
- N(E_F): 1.065 states/eV per atom
- Calculated total energy: -35.3 eV for the cell shown
- Total magnetization: 5.59 μB/f.u.

(2)
## YSc2CrMo (PBE)

Data for crystalline YSc2CrMo at its relaxed geometry.

Lattice parameters (Å, degrees): 4.9368 4.9368 5.2647 90.00 90.00 90.00
Element x y z (fractional)
Y: 0.0000 0.0000 0.0000
Sc: 0.0000 0.5000 0.5000
Sc: 0.5000 0.0000 0.5000
Cr: 0.5000 0.5000 0.0000
Mo: 0.0000 0.0000 0.5000

Values from the calculation:
- N(E_F): 2.488 states/eV per atom
- Calculated total energy: -33.7 eV for the cell shown
- Formation energy: 1.17 eV/atom
- Total magnetization: 0.08 μB/f.u.

Copy entry 1 word for word.
## ScCr2TeMo (PBE)

Data for crystalline ScCr2TeMo at its relaxed geometry.

Lattice parameters (Å, degrees): 4.6710 4.6710 5.1918 90.00 90.00 90.00
Element x y z (fractional)
Sc: 0.0000 0.0000 0.0000
Cr: 0.0000 0.5000 0.5000
Cr: 0.5000 0.0000 0.5000
Te: 0.5000 0.5000 0.0000
Mo: 0.0000 0.0000 0.5000

Values from the calculation:
- N(E_F): 1.065 states/eV per atom
- Calculated total energy: -35.3 eV for the cell shown
- Total magnetization: 5.59 μB/f.u.